The following is a PBE calculation of crystalline SbAsPt2 at its relaxed geometry, from Alexandria. Values from VASP.

```
&SYSTEM
  ibrav = 0, nat = 4, ntyp = 3
/
ATOMIC_SPECIES
Sb 121.76 Sb.upf
As 74.92 As.upf
Pt 195.08 Pt.upf
CELL_PARAMETERS angstrom
-0.118 3.479 4.033
-4.854 2.050 0.788
2.593 -4.652 -0.136
ATOMIC_POSITIONS crystal
Sb 0.505 0.505 0.000
As 0.226 0.726 0.500
Pt 0.014 0.014 0.000
Pt 0.755 0.255 0.500
```

Computed properties:
Volume (Å³ per cell): 74.1
Total moment (Bohr magnetons per cell): 0.0
E_form (uncorrected) (meV per atom): -40

=====

The following is a PBE calculation of crystalline PuAlZnCu at its relaxed geometry, from Alexandria. Values from VASP.

```
&SYSTEM
  ibrav = 0, nat = 4, ntyp = 4
/
ATOMIC_SPECIES
Zn 65.41 Zn.upf
Al 26.98 Al.upf
Cu 63.55 Cu.upf
Pu 244.00 Pu.upf
CELL_PARAMETERS angstrom
-0.628 1.931 4.207
-2.491 -2.245 3.252
2.134 -1.808 3.742
ATOMIC_POSITIONS crystal
Zn 0.750 0.750 0.750
Al 0.500 0.500 0.500
Cu 0.250 0.250 0.250
Pu 0.000 0.000 0.000
```

Computed properties:
Volume (Å³ per cell): 72.1
Total moment (Bohr magnetons per cell): 5.4
DFT formation energy (eV/atom): -0.117

=====

The following is a PBE calculation of crystalline CeCrFeSi2 at its relaxed geometry, from Alexandria. Values from VASP.

```
&SYSTEM
  ibrav = 0, nat = 5, ntyp = 4
/
ATOMIC_SPECIES
Ce 140.12 Ce.upf
Cr 52.00 Cr.upf
Fe 55.84 Fe.upf
Si 28.09 Si.upf
CELL_PARAMETERS angstrom
-3.265 -1.523 -1.757
2.286 -2.658 -1.944
-0.042 -1.135 5.634
ATOMIC_POSITIONS crystal
Ce 0.000 0.000 0.000
Cr 0.250 0.750 0.500
Fe 0.750 0.250 0.500
Si 0.626 0.626 0.251
Si 0.374 0.374 0.749
```

Computed properties:
Volume (Å³ per cell): 80.3
Total moment (Bohr magnetons per cell): 2.9
E_form (uncorrected) (meV per atom): -523